# TaSi2Pt

A relaxed TaSi2Pt crystal (PBE, Alexandria).

The calculation puts the total energy at -7.520 eV per atom. The value obtained for the density is 11.78 g cm⁻³. The calculation puts the size of the total moment at 0.000 μB/f.u.

The space group is P2/m (No. 10) and the conventional cell measures 4.5541, 2.8582 and 5.1561 Å, with angles of 90.00, 114.75 and 90.00 degrees. The distinct sites, in fractional coordinates, are Ta at (0.0000, 0.0000, 0.0000), Si at (0.5000, 0.0000, 0.5000), Si at (0.5000, 0.5000, 0.0000) and Pt at (0.0000, 0.5000, 0.5000).

=====

# Zr2TlCu

A relaxed Zr2TlCu crystal (PBE, Alexandria).

The calculation puts the total energy at -5.967 eV per atom. The value obtained for the density is 9.22 g cm⁻³. The value obtained for the formation energy is -7.4 kJ per mole of atoms. The calculation puts the size of the total moment at 0.000 μB/f.u.

The space group is P4/mmm (No. 123) and the conventional cell measures 3.2001, 3.2001 and 7.9177 Å, with angles of 90.00, 90.00 and 90.00 degrees. The distinct sites, in fractional coordinates, are Zr at (0.0000, 0.0000, 0.2198), Tl at (0.5000, 0.5000, 0.5000) and Cu at (0.5000, 0.5000, 0.0000).

=====

# Zr2MnInH

A relaxed Zr2MnInH crystal (PBE, Alexandria).

The calculation puts the total energy at -6.358 eV per atom. The value obtained for the density is 7.40 g cm⁻³. The energy above the lowest structure with this stoichiometry comes out at 31.1 kJ/mol of atoms. The calculation puts the size of the total moment at 0.002 μB/f.u.

The space group is P4/mmm (No. 123) and the conventional cell measures 4.2089, 4.2089 and 4.4750 Å, with angles of 90.00, 90.00 and 90.00 degrees. The distinct sites, in fractional coordinates, are Zr at (0.0000, 0.5000, 0.0000), Mn at (0.0000, 0.0000, 0.5000), In at (0.5000, 0.5000, 0.5000) and H at (0.5000, 0.5000, 0.0000).

=====

# Sr2ScSb3Pd4

A relaxed Sr2ScSb3Pd4 crystal (PBE, Alexandria).

The calculation puts the total energy at -5.128 eV per atom. The value obtained for the density is 7.16 g cm⁻³. The calculation puts the size of the total moment at 0.000 μB/f.u.

The space group is P-4m2 (No. 115) and the conventional cell measures 4.5434, 4.5434 and 11.3631 Å, with angles of 90.00, 90.00 and 90.00 degrees. The distinct sites, in fractional coordinates, are Sr at (0.0000, 0.5000, 0.2330), Sc at (0.0000, 0.0000, 0.5000), Sb at (0.0000, 0.5000, 0.8700), Sb at (0.5000, 0.5000, 0.5000), Pd at (0.0000, 0.0000, 0.0000), Pd at (0.0000, 0.5000, 0.6360) and Pd at (0.5000, 0.5000, 0.0000).

=====

# YSbP2

A relaxed YSbP2 crystal (PBE, Alexandria).

The calculation puts the total energy at -5.770 eV per atom. The value obtained for the density is 5.48 g cm⁻³. The calculation puts the size of the total moment at 0.000 μB/f.u.

The space group is C2/m (No. 12) and the conventional cell measures 6.3200, 7.1590 and 3.6501 Å, with angles of 90.00, 90.52 and 90.00 degrees. The distinct sites, in fractional coordinates, are Y at (0.0000, 0.0000, 0.0000), Sb at (0.0000, 0.5000, 0.0000) and P at (0.2500, 0.2500, 0.5000).

=====

# CrIn2Rh

A relaxed CrIn2Rh crystal (PBE, Alexandria).

The calculation puts the total energy at -5.552 eV per atom. The value obtained for the density is 8.85 g cm⁻³. The value obtained for the formation energy is 5.9 kJ per mole of atoms. The energy above the lowest structure with this stoichiometry comes out at 10.6 kJ/mol of atoms. The calculation puts the size of the total moment at 3.581 μB/f.u.

The space group is Cm (No. 8) and the conventional cell measures 10.2764, 3.1147 and 4.7439 Å, with angles of 90.00, 108.20 and 90.00 degrees. The distinct sites, in fractional coordinates, are Cr at (0.0000, 0.0000, 0.0000), In at (0.2451, 0.0000, 0.8266), In at (0.4639, 0.0000, 0.4700) and Rh at (0.2173, 0.5000, 0.3105).

=====

What did the fifth record say?
# YSbP2

A relaxed YSbP2 crystal (PBE, Alexandria).

The calculation puts the total energy at -5.770 eV per atom. The value obtained for the density is 5.48 g cm⁻³. The calculation puts the size of the total moment at 0.000 μB/f.u.

The space group is C2/m (No. 12) and the conventional cell measures 6.3200, 7.1590 and 3.6501 Å, with angles of 90.00, 90.52 and 90.00 degrees. The distinct sites, in fractional coordinates, are Y at (0.0000, 0.0000, 0.0000), Sb at (0.0000, 0.5000, 0.0000) and P at (0.2500, 0.2500, 0.5000).